Record 1
Material: TbPr3Sm4S8
Method: DFT, PBE-GGA
State: optimized geometry

Results
Formation energy from raw total energies in eV/atom: -2.013
Uncorrected energy in eV/atom: -6.44
DOS at the Fermi energy in states/eV per atom: 0.549

a = 8.0758 Å, b = 8.0739 Å, c = 8.0749 Å
α = 120.00°, β = 120.00°, γ = 90.00°
Positions (direct):
Pr 0.5000 0.5000 0.5000
Pr 0.5000 0.5000 0.0000
Pr 0.0000 0.5000 0.5000
S 0.7590 0.7530 0.0060
S 0.2410 0.2470 0.9940
S 0.2469 0.2407 0.4938
S 0.7530 0.2469 0.5059
S 0.7530 0.2470 0.9940
S 0.2470 0.7530 0.0060
S 0.7531 0.7593 0.5062
S 0.2470 0.7531 0.4941
Sm 0.5000 0.0000 0.0000
Sm 0.0000 0.0000 0.0000
Sm 0.0000 0.0000 0.5000
Sm 0.5000 0.0000 0.5000
Tb 0.0000 0.5000 0.0000


Record 2
Material: Tb2PrSm3S6
Method: DFT, PBE-GGA
State: optimized geometry

Results
Formation energy from raw total energies in eV/atom: -2.020
Uncorrected energy in eV/atom: -6.43
DOS at the Fermi energy in states/eV per atom: 0.414

a = 6.9334 Å, b = 6.9334 Å, c = 6.9195 Å
α = 99.59°, β = 99.59°, γ = 120.16°
Positions (direct):
S 0.5742 0.9172 0.7513
S 0.7388 0.7388 0.2450
S 0.4258 0.0828 0.2487
S 0.9172 0.5742 0.7513
S 0.0828 0.4258 0.2487
S 0.2612 0.2612 0.7550
Sm 0.8377 0.1623 0.5000
Sm 0.5000 0.5000 0.5000
Sm 0.1623 0.8377 0.5000
Tb 0.6662 0.3338 0.0000
Tb 0.3338 0.6662 0.0000
Pr 0.0000 0.0000 0.0000


Record 3
Material: Tb3Pr4SmS8
Method: DFT, PBE-GGA
State: optimized geometry

Results
Formation energy from raw total energies in eV/atom: -2.017
Uncorrected energy in eV/atom: -6.44
DOS at the Fermi energy in states/eV per atom: 0.480

a = 8.0026 Å, b = 8.1138 Å, c = 8.0026 Å
α = 119.55°, β = 120.00°, γ = 90.00°
Positions (direct):
Tb 0.5000 0.5000 0.0000
Tb 0.5000 0.5000 0.5000
Tb 0.0000 0.5000 0.5000
S 0.2469 0.7349 0.9880
S 0.7441 0.7323 0.4882
S 0.7411 0.7349 0.9880
S 0.7531 0.2651 0.5063
S 0.2469 0.7349 0.4937
S 0.2559 0.2677 0.5118
S 0.7531 0.2651 0.0120
S 0.2589 0.2651 0.0120
Sm 0.0000 0.5000 0.0000
Pr 0.5000 0.0000 0.0000
Pr 0.0000 0.0000 0.0000
Pr 0.5000 0.0000 0.5000
Pr 0.0000 0.0000 0.5000


Record 4
Material: PrSmTeS
Method: DFT, PBE-GGA
State: optimized geometry

Results
Formation energy from raw total energies in eV/atom: -1.576
Uncorrected energy in eV/atom: -5.77
DOS at the Fermi energy in states/eV per atom: 0.484

a = 4.0651 Å, b = 4.0678 Å, c = 8.1540 Å
α = 90.00°, β = 104.43°, γ = 120.02°
Positions (direct):
S 0.9733 0.3846 0.3727
Pr 0.1478 0.9719 0.1346
Sm 0.4574 0.1267 0.6000
Te 0.2993 0.5476 0.8624


Please write out number 1 again, unchanged.
Material: TbPr3Sm4S8
Method: DFT, PBE-GGA
State: optimized geometry

Results
Formation energy from raw total energies in eV/atom: -2.013
Uncorrected energy in eV/atom: -6.44
DOS at the Fermi energy in states/eV per atom: 0.549

a = 8.0758 Å, b = 8.0739 Å, c = 8.0749 Å
α = 120.00°, β = 120.00°, γ = 90.00°
Positions (direct):
Pr 0.5000 0.5000 0.5000
Pr 0.5000 0.5000 0.0000
Pr 0.0000 0.5000 0.5000
S 0.7590 0.7530 0.0060
S 0.2410 0.2470 0.9940
S 0.2469 0.2407 0.4938
S 0.7530 0.2469 0.5059
S 0.7530 0.2470 0.9940
S 0.2470 0.7530 0.0060
S 0.7531 0.7593 0.5062
S 0.2470 0.7531 0.4941
Sm 0.5000 0.0000 0.0000
Sm 0.0000 0.0000 0.0000
Sm 0.0000 0.0000 0.5000
Sm 0.5000 0.0000 0.5000
Tb 0.0000 0.5000 0.0000


- Among the records above, which one has the lowest formation energy from raw total energies?
  Tb2PrSm3S6


- Among the records above, which one has the highest formation energy from raw total energies?
  PrSmTeS